Entry 1:
A plane-wave DFT calculation with PBE was carried out for a relaxed IrSe2O2 crystal.

Output
Relative energy among the computed polymorphs: 34 meV per atom
Total moment: 0.3 Bohr magnetons per cell
ΔE_f (raw): 55.1 kJ/mol of atoms

Unit cell a=7.4447 b=7.4447 c=2.6612 alpha=90.00 beta=90.00 gamma=90.00
Space group P4/mbm (No. 127)
One atom of each set of equivalent atoms:
Ir (0.0000, 0.0000, 0.0000)
Se (0.2461, 0.2539, 0.5000)
O (0.1131, 0.3869, 0.0000)

Entry 2:
A plane-wave DFT calculation with PBE was carried out for a relaxed IrSeO3 crystal.

Output
Total moment: 2.9 Bohr magnetons per cell
ΔE_f (raw): 72.4 kJ/mol of atoms

Unit cell a=3.9071 b=3.9071 c=3.9071 alpha=90.00 beta=90.00 gamma=90.00
Space group Pm-3m (No. 221)
One atom of each set of equivalent atoms:
Ir (0.0000, 0.0000, 0.0000)
Se (0.5000, 0.5000, 0.5000)
O (0.0000, 0.5000, 0.5000)

Entry 3:
A plane-wave DFT calculation with PBE was carried out for a relaxed Ir3SeO crystal.

Output
Relative energy among the computed polymorphs: 0 meV per atom
Total moment: 1.2 Bohr magnetons per cell
ΔE_f (raw): 107.2 kJ/mol of atoms

Unit cell a=4.2128 b=4.2128 c=4.2128 alpha=90.00 beta=90.00 gamma=90.00
Space group Pm-3m (No. 221)
One atom of each set of equivalent atoms:
Ir (0.0000, 0.0000, 0.5000)
Se (0.5000, 0.5000, 0.5000)
O (0.0000, 0.0000, 0.0000)